This record from Alexandria via LeMat-Bulk describes Ba3PmSm3S8 after structural relaxation. The functional is PBE.

abc: 8.2743 8.2783 8.7039
angles: 61.64 61.64 60.03
Space group P-1 (No. 2)
Inequivalent atoms, fractional coordinates:
Ba  0.0000  0.0000  0.0000 (multiplicity 1)
Ba  0.0000  0.5000  0.0000 (multiplicity 1)
Ba  0.5000  0.0000  0.0000 (multiplicity 1)
Pm  0.0000  0.0000  0.5000 (multiplicity 1)
Sm  0.0000  0.5000  0.5000 (multiplicity 1)
Sm  0.5000  0.0000  0.5000 (multiplicity 1)
Sm  0.5000  0.5000  0.5000 (multiplicity 1)
S  0.2375  0.2376  0.2874 (multiplicity 2)
S  0.2376  0.7375  0.2873 (multiplicity 2)
S  0.2611  0.2610  0.7169 (multiplicity 2)
S  0.2628  0.7622  0.7128 (multiplicity 2)

Properties
E_form (uncorrected) in eV per atom: -2.05
E in eV per atom: -5.901